A plane-wave DFT calculation with GGA-PBE was carried out for a relaxed NaCr2Te2 crystal.

Calculated values
DOS(E_F): 1.017 states/eV per atom
energy above the lowest structure with this stoichiometry: 0 meV per atom
formation energy from raw total energies: -46 meV per atom

Cell lengths 3.7711, 3.7711, 15.7191 Å; angles 90.00, 90.00, 90.00 degrees
With the nearest neighbours (Å) after each atom.
Space group I4/mmm (No. 139)
One atom of each set of equivalent atoms:
Na (0.0000, 0.0000, 0.0000) [2 per cell]  8 Te 3.40, 4 Na 3.77
Cr (0.0000, 0.5000, 0.2500) [4 per cell]  4 Te 2.63, 4 Cr 2.67
Te (0.0000, 0.0000, 0.3662) [4 per cell]  4 Cr 2.63



A plane-wave DFT calculation with GGA-PBE was carried out for a relaxed NaCrTe crystal.

Calculated values
DOS(E_F): 0.701 states/eV per atom
energy above the lowest structure with this stoichiometry: 99 meV per atom
formation energy from raw total energies: -6 meV per atom

Cell lengths 3.8310, 3.8310, 36.1033 Å; angles 90.00, 90.00, 120.00 degrees
With the nearest neighbours (Å) after each atom.
Space group R-3m (No. 166, hexagonal axes)
One atom of each set of equivalent atoms:
Na (0.0000, 0.0000, 0.1244) [6 per cell]  3 Te 3.29
Cr (0.0000, 0.0000, 0.3186) [6 per cell]  3 Cr 2.45, 4 Te 2.59-2.69
Te (0.0000, 0.0000, 0.3903) [6 per cell]  4 Cr 2.59-2.69



A plane-wave DFT calculation with GGA-PBE was carried out for a relaxed NaCrTe3 crystal.

Calculated values
DOS(E_F): 0.830 states/eV per atom
energy above the lowest structure with this stoichiometry: 0 meV per atom
formation energy from raw total energies: -189 meV per atom

Cell lengths 4.0204, 5.2659, 6.9414 Å; angles 90.00, 90.00, 90.00 degrees
With the nearest neighbours (Å) after each atom.
Space group Pmmm (No. 47)
One atom of each set of equivalent atoms:
Na (0.0000, 0.0000, 0.0000) [1 per cell]  10 Te 3.47-3.71
Cr (0.0000, 0.5000, 0.5000) [1 per cell]  6 Te 2.63-2.71
Te (0.0000, 0.0000, 0.5000) [1 per cell]  2 Cr 2.63
Te (0.5000, 0.5000, 0.2392) [2 per cell]  2 Cr 2.71



A plane-wave DFT calculation with GGA-PBE was carried out for a relaxed Na3Cr5Te12 crystal.

Calculated values
DOS(E_F): 0.628 states/eV per atom
formation energy from raw total energies: -149 meV per atom

Cell lengths 16.9055, 16.9055, 16.9055 Å; angles 90.00, 90.00, 90.00 degrees
With the nearest neighbours (Å) after each atom.
Space group Ia-3d (No. 230)
One atom of each set of equivalent atoms:
Na (0.0000, 0.2500, 0.1250) [24 per cell]  8 Te 3.26-3.49
Cr (0.0000, 0.0000, 0.0000) [16 per cell]  6 Te 2.74
Cr (0.0000, 0.2500, 0.3750) [24 per cell]  4 Te 2.52
Te (0.0407, 0.0623, 0.6442) [96 per cell]  2 Cr 2.52-2.74



Q: Which value of formation energy from raw total energies does entry 4 give?
A: -149 meV per atom